Record 1
Compound: Tl5Hg12Pb2
Source: the Alexandria database
Functional: PBE
Structure: relaxed

Output
- ΔH_f (0 K): 0.013 eV per atom
- Space group: C2/m

Lattice parameters (Å, degrees): 10.040 10.040 6.110 95.68 95.68 62.66
Positions (direct):
Tl: 0.000 0.000 0.000
Tl: 0.228 0.228 0.086
Tl: 0.338 0.338 0.609
Tl: 0.662 0.662 0.391
Tl: 0.772 0.772 0.914
Hg: 0.029 0.574 0.311
Hg: 0.097 0.097 0.523
Hg: 0.140 0.645 0.901
Hg: 0.355 0.860 0.099
Hg: 0.426 0.971 0.689
Hg: 0.434 0.434 0.162
Hg: 0.566 0.566 0.838
Hg: 0.574 0.029 0.311
Hg: 0.645 0.140 0.901
Hg: 0.860 0.355 0.099
Hg: 0.903 0.903 0.477
Hg: 0.971 0.426 0.689
Pb: 0.278 0.722 0.500
Pb: 0.722 0.278 0.500

Record 2
Compound: Tl2Hg5Pb12
Source: the Alexandria database
Functional: PBE
Structure: relaxed

Output
- ΔH_f (0 K): 0.039 eV per atom
- Space group: P-1

Lattice parameters (Å, degrees): 5.931 7.614 13.725 100.59 102.20 99.15
Positions (direct):
Tl: 0.006 0.003 0.255
Tl: 0.994 0.997 0.745
Hg: 0.000 0.000 0.000
Hg: 0.188 0.399 0.207
Hg: 0.190 0.387 0.697
Hg: 0.810 0.613 0.303
Hg: 0.812 0.601 0.793
Pb: 0.193 0.391 0.951
Pb: 0.199 0.383 0.458
Pb: 0.387 0.791 0.649
Pb: 0.390 0.800 0.404
Pb: 0.398 0.788 0.153
Pb: 0.407 0.799 0.899
Pb: 0.593 0.201 0.101
Pb: 0.602 0.212 0.847
Pb: 0.610 0.200 0.596
Pb: 0.613 0.209 0.351
Pb: 0.801 0.617 0.542
Pb: 0.807 0.609 0.049

Record 3
Compound: Tl2Hg7Pb
Source: the Alexandria database
Functional: PBE
Structure: relaxed

Output
- ΔH_f (0 K): 0.034 eV per atom
- Space group: Cmmm

Lattice parameters (Å, degrees): 11.193 11.193 3.306 90.00 90.00 130.17
Positions (direct):
Tl: 0.181 0.819 0.000
Tl: 0.819 0.181 0.000
Hg: 0.000 0.000 0.000
Hg: 0.174 0.362 0.000
Hg: 0.321 0.679 0.500
Hg: 0.362 0.174 0.000
Hg: 0.638 0.826 0.000
Hg: 0.679 0.321 0.500
Hg: 0.826 0.638 0.000
Pb: 0.500 0.500 0.500

Record 4
Compound: Tl5HgPb
Source: the Alexandria database
Functional: PBE
Structure: relaxed

Output
- ΔH_f (0 K): 0.052 eV per atom
- ΔE to the lowest computed polymorph: 9 meV per atom
- Space group: C2/c

Lattice parameters (Å, degrees): 6.817 6.817 11.511 100.49 100.49 58.29
Positions (direct):
Tl: 0.128 0.340 0.679
Tl: 0.186 0.814 0.750
Tl: 0.288 0.421 0.966
Tl: 0.340 0.128 0.179
Tl: 0.421 0.288 0.466
Tl: 0.579 0.712 0.534
Tl: 0.660 0.872 0.821
Tl: 0.712 0.579 0.034
Tl: 0.814 0.186 0.250
Tl: 0.872 0.660 0.321
Hg: 0.000 0.000 0.000
Hg: 0.000 0.000 0.500
Pb: 0.322 0.678 0.250
Pb: 0.678 0.322 0.750